Compound: Er4AlCd3
Source: Alexandria
Functional: PBE
Structure: optimized geometry Values from VASP.

Results
For the final energy, the calculation gives -3.37 eV/atom. The excess energy over the best structure of this formula in the dataset is 0.0581 eV per atom. The density of states at the Fermi level is 6.156 states/eV/cell. The value obtained for the formation energy is -278 meV/atom. Its total magnetic moment is 0.00 μB per formula unit.

The structure in Quantum ESPRESSO input format:
```
&SYSTEM
  ibrav = 0, nat = 8, ntyp = 3
/
ATOMIC_SPECIES
Er 167.26 Er.upf
Al 26.98 Al.upf
Cd 112.41 Cd.upf
ATOMIC_POSITIONS crystal
Er 0.0000 0.0000 0.0000
Er 0.0000 0.5000 0.3148
Er 0.5000 0.0000 0.4912
Er 0.5000 0.5000 0.8194
Al 0.5000 0.0000 0.2297
Cd 0.0000 0.0000 0.7302
Cd 0.0000 0.5000 0.5827
Cd 0.5000 0.5000 0.0875
CELL_PARAMETERS angstrom
3.5916 0.0000 0.0000
0.0000 4.7854 0.0000
0.0000 0.0000 11.8534
```